(1)
A geometry-optimized Ba3Li4Bi4 structure, computed with PBEsol.

Cell: 5.057 7.753 16.610 Å, 90.00 90.00 90.00°
Space group Immm (No. 71)
Inequivalent atoms, fractional coordinates:
Ba1 0.000 0.000 0.000
Ba2 0.000 0.500 0.131
Li1 0.000 0.309 0.326
Bi1 0.000 0.000 0.214
Bi2 0.000 0.195 0.500

(2)
A geometry-optimized BaLi2Bi2 structure, computed with PBEsol.

Cell: 4.854 4.854 12.000 Å, 90.00 90.00 90.00°
Space group I4/mmm (No. 139)
Inequivalent atoms, fractional coordinates:
Ba1 0.000 0.000 0.000
Li1 0.000 0.500 0.250
Bi1 0.000 0.000 0.373

(3)
A geometry-optimized BaLi2Bi2 structure, computed with PBEsol.

Cell: 9.185 9.185 3.333 Å, 90.00 90.00 90.00°
Space group P4/mbm (No. 127)
Inequivalent atoms, fractional coordinates:
Ba1 0.000 0.000 0.000
Li1 0.128 0.372 0.500
Bi1 0.159 0.659 0.000

| no. | ΔH_f (0 K) (eV/f.u.) |
| --- | --- |
| 1 | -8.83 |
| 2 | -3.44 |
| 3 | -2.24 |